#a
An optimized crystal structure of YBe3Ga. Source: the Alexandria database, functional PBE.

a = 4.2517 Å, b = 4.2517 Å, c = 4.2517 Å
α = 90.00°, β = 90.00°, γ = 90.00°
Last column: nearest neighbours and their distance in Å.
Fractional positions:
Y 0.0000 0.0000 0.0000  12 Be 3.01
Be 0.0000 0.5000 0.5000  2 Ga 2.13
Be 0.5000 0.0000 0.5000  2 Ga 2.13
Be 0.5000 0.5000 0.0000  2 Ga 2.13
Ga 0.5000 0.5000 0.5000  6 Be 2.13

Properties
- D(E_F): 2.16 states/eV per cell

#b
An optimized crystal structure of YBe3Ga. Source: the Alexandria database, functional PBE.

a = 5.1653 Å, b = 5.1653 Å, c = 5.1653 Å
α = 90.00°, β = 90.00°, γ = 90.00°
Last column: nearest neighbours and their distance in Å.
Fractional positions:
Y 0.0000 0.0000 0.0000  6 Be 2.58
Be 0.0000 0.0000 0.5000  2 Y 2.58
Be 0.0000 0.5000 0.0000  2 Y 2.58
Be 0.5000 0.0000 0.0000  2 Y 2.58
Ga 0.5000 0.5000 0.5000  12 Be 3.65

Properties
- D(E_F): 5.60 states/eV per cell

List of relative energies, unit kJ/mol of atoms: #a 0.0; #b 145.0

#a
An optimized crystal structure of YBe2Ga2. Source: the Alexandria database, functional PBE.

a = 5.6786 Å, b = 5.6786 Å, c = 5.6786 Å
α = 139.10°, β = 139.10°, γ = 59.23°
Last column: nearest neighbours and their distance in Å.
Fractional positions:
Y 0.0000 0.0000 0.0000  8 Ga 3.07, 8 Be 3.17
Be 0.2500 0.7500 0.5000  4 Ga 2.33
Be 0.7500 0.2500 0.5000  4 Ga 2.33
Ga 0.3734 0.3734 0.0000  4 Be 2.33, 1 Ga 2.50
Ga 0.6266 0.6266 0.0000  4 Be 2.33, 1 Ga 2.50

Properties
- D(E_F): 1.32 states/eV per cell

#b
An optimized crystal structure of YBe2Ga2. Source: the Alexandria database, functional PBE.

a = 7.2694 Å, b = 7.2694 Å, c = 3.0066 Å
α = 90.00°, β = 90.00°, γ = 90.00°
Last column: nearest neighbours and their distance in Å.
Fractional positions:
Y 0.0000 0.0000 0.0000  4 Be 2.93, 2 Y 3.01, 8 Ga 3.09
Y 0.5000 0.5000 0.0000  4 Be 2.93, 2 Y 3.01, 8 Ga 3.09
Be 0.1134 0.3866 0.0000  1 Be 2.33, 4 Ga 2.58
Be 0.3866 0.8866 0.0000  1 Be 2.33, 4 Ga 2.58
Be 0.6134 0.1134 0.0000  1 Be 2.33, 4 Ga 2.58
Be 0.8866 0.6134 0.0000  1 Be 2.33, 4 Ga 2.58
Ga 0.1689 0.6689 0.5000  6 Be 2.58-2.70
Ga 0.3311 0.1689 0.5000  6 Be 2.58-2.70
Ga 0.6689 0.8311 0.5000  6 Be 2.58-2.70
Ga 0.8311 0.3311 0.5000  6 Be 2.58-2.70

Properties
- D(E_F): 4.16 states/eV per cell

List of relative energies, unit kJ/mol of atoms: #a 0.0; #b 38.2

#a
An optimized crystal structure of BeZnGa2. Source: the Alexandria database, functional PBE.

a = 8.5771 Å, b = 8.5771 Å, c = 8.5771 Å
α = 153.13°, β = 153.13°, γ = 38.37°
Last column: nearest neighbours and their distance in Å.
Fractional positions:
Be 0.0000 0.0000 0.0000  4 Ga 2.43
Be 0.7500 0.2500 0.5000  4 Ga 2.43
Zn 0.2500 0.7500 0.5000  4 Ga 2.51
Zn 0.5000 0.5000 0.0000  4 Ga 2.51
Ga 0.1005 0.6250 0.9755  2 Be 2.43, 2 Zn 2.51, 2 Ga 2.68
Ga 0.3750 0.3505 0.4755  2 Be 2.43, 2 Zn 2.51, 2 Ga 2.68
Ga 0.6495 0.1250 0.0245  2 Be 2.43, 2 Zn 2.51, 2 Ga 2.68
Ga 0.8750 0.8995 0.5245  2 Be 2.43, 2 Zn 2.51, 2 Ga 2.68

Properties
- D(E_F): 2.68 states/eV per cell

#b
An optimized crystal structure of BeZnGa2. Source: the Alexandria database, functional PBE.

a = 9.5841 Å, b = 9.5841 Å, c = 9.5841 Å
α = 16.82°, β = 16.82°, γ = 16.82°
Last column: nearest neighbours and their distance in Å.
Fractional positions:
Be 0.0000 0.0000 0.0000  2 Ga 2.36
Zn 0.5000 0.5000 0.5000  6 Zn 2.80, 6 Ga 2.87
Ga 0.0833 0.0833 0.0833  1 Be 2.36
Ga 0.9167 0.9167 0.9167  1 Be 2.36

Properties
- D(E_F): 1.63 states/eV per cell

List of relative energies, unit kJ/mol of atoms: #a 0.0; #b 13.2

#a
An optimized crystal structure of BeZnGa2. Source: the Alexandria database, functional PBE.

a = 5.1647 Å, b = 5.1647 Å, c = 5.1647 Å
α = 45.30°, β = 45.30°, γ = 45.30°
Last column: nearest neighbours and their distance in Å.
Fractional positions:
Be 0.0000 0.0000 0.0000  1 Zn 2.41, 6 Ga 2.44-2.47
Zn 0.1740 0.1740 0.1740  1 Be 2.41, 3 Ga 2.68
Ga 0.3982 0.3982 0.3982  3 Be 2.47, 3 Zn 2.75
Ga 0.6073 0.6073 0.6073  3 Be 2.44, 3 Zn 2.68

Properties
- D(E_F): 0.99 states/eV per cell

#b
An optimized crystal structure of BeZnGa2. Source: the Alexandria database, functional PBE.

a = 3.9553 Å, b = 3.9553 Å, c = 3.7991 Å
α = 90.00°, β = 90.00°, γ = 90.00°
Last column: nearest neighbours and their distance in Å.
Fractional positions:
Be 0.0000 0.0000 0.0000  8 Ga 2.74, 4 Zn 2.80
Zn 0.5000 0.5000 0.0000  8 Ga 2.74, 4 Be 2.80
Ga 0.0000 0.5000 0.5000  4 Be 2.74, 4 Zn 2.74, 4 Ga 2.80
Ga 0.5000 0.0000 0.5000  4 Be 2.74, 4 Zn 2.74, 4 Ga 2.80

Properties
- D(E_F): 1.76 states/eV per cell

List of relative energies, unit kJ/mol of atoms: #a 0.0; #b 8.6

#a
An optimized crystal structure of ZrBeGa. Source: the Alexandria database, functional PBE.

a = 3.9656 Å, b = 3.9656 Å, c = 3.4235 Å
α = 90.00°, β = 90.00°, γ = 120.00°
Last column: nearest neighbours and their distance in Å.
Fractional positions:
Zr 0.0000 0.0000 0.0000  6 Ga 2.86, 6 Be 2.86
Be 0.3333 0.6667 0.5000  3 Ga 2.29
Ga 0.6667 0.3333 0.5000  3 Be 2.29

Properties
- D(E_F): 1.22 states/eV per cell

#b
An optimized crystal structure of ZrBeGa. Source: the Alexandria database, functional PBE.

a = 5.5955 Å, b = 5.5955 Å, c = 5.5955 Å
α = 148.73°, β = 148.73°, γ = 44.81°
Last column: nearest neighbours and their distance in Å.
Fractional positions:
Zr 0.0000 0.0000 0.0000  4 Be 2.79, 5 Ga 2.99-3.08, 4 Zr 3.02
Be 0.3263 0.3263 0.0000  4 Ga 2.49
Ga 0.7025 0.7025 0.0000  4 Be 2.49

Properties
- D(E_F): 1.95 states/eV per cell

#c
An optimized crystal structure of ZrBeGa. Source: the Alexandria database, functional PBE.

a = 6.7114 Å, b = 6.7114 Å, c = 4.0849 Å
α = 90.00°, β = 90.00°, γ = 146.34°
Last column: nearest neighbours and their distance in Å.
Fractional positions:
Zr 0.1304 0.8696 0.7500  5 Ga 2.72-2.84, 4 Be 2.76
Zr 0.8696 0.1304 0.2500  5 Ga 2.72-2.84, 4 Be 2.76
Be 0.5000 0.5000 0.0000  2 Be 2.04, 2 Ga 2.27
Be 0.5000 0.5000 0.5000  2 Be 2.04, 2 Ga 2.27
Ga 0.3419 0.6581 0.7500  2 Be 2.27
Ga 0.6581 0.3419 0.2500  2 Be 2.27

Properties
- D(E_F): 2.16 states/eV per cell

List of relative energies, unit kJ/mol of atoms: #a 0.0; #b 30.8; #c 37.2

#a
An optimized crystal structure of ZrBeGa. Source: the Alexandria database, functional PBE.

a = 7.2900 Å, b = 7.2900 Å, c = 7.2900 Å
α = 150.31°, β = 150.31°, γ = 42.49°
Last column: nearest neighbours and their distance in Å.
Fractional positions:
Zr 0.0000 0.0000 0.0000  8 Ga 2.91, 4 Be 3.02
Zr 0.7500 0.2500 0.5000  8 Be 2.83, 4 Ga 2.87
Be 0.1743 0.6743 0.5000  1 Be 2.06, 2 Ga 2.19
Be 0.3257 0.8257 0.5000  1 Be 2.06, 2 Ga 2.19
Ga 0.4103 0.4103 0.0000  2 Be 2.19, 1 Ga 2.44
Ga 0.5897 0.5897 0.0000  2 Be 2.19, 1 Ga 2.44

Properties
- D(E_F): 3.36 states/eV per cell

#b
An optimized crystal structure of ZrBeGa. Source: the Alexandria database, functional PBE.

a = 4.0441 Å, b = 4.0441 Å, c = 6.5497 Å
α = 90.00°, β = 90.00°, γ = 120.00°
Last column: nearest neighbours and their distance in Å.
Fractional positions:
Zr 0.0000 0.0000 0.0000  6 Be 2.85, 6 Ga 2.85
Zr 0.0000 0.0000 0.5000  6 Be 2.85, 6 Ga 2.85
Be 0.3333 0.6667 0.2500  3 Ga 2.33
Be 0.6667 0.3333 0.7500  3 Ga 2.33
Ga 0.3333 0.6667 0.7500  3 Be 2.33
Ga 0.6667 0.3333 0.2500  3 Be 2.33

Properties
- D(E_F): 1.12 states/eV per cell

List of relative energies, unit kJ/mol of atoms: #a 8.0; #b 0.0

#a
An optimized crystal structure of Zr2BeGa2. Source: the Alexandria database, functional PBE.

a = 6.8889 Å, b = 6.8889 Å, c = 4.0818 Å
α = 90.00°, β = 90.00°, γ = 90.00°
Last column: nearest neighbours and their distance in Å.
Fractional positions:
Zr 0.1637 0.3363 0.0000  2 Be 2.58, 2 Ga 2.78
Zr 0.3363 0.8363 0.0000  2 Be 2.58, 2 Ga 2.78
Zr 0.6637 0.1637 0.0000  2 Be 2.58, 2 Ga 2.78
Zr 0.8363 0.6637 0.0000  2 Be 2.58, 2 Ga 2.78
Be 0.0000 0.0000 0.0000  4 Zr 2.58
Be 0.5000 0.5000 0.0000  4 Zr 2.58
Ga 0.1431 0.6431 0.5000  6 Zr 2.78-2.94, 1 Ga 2.79
Ga 0.3569 0.1431 0.5000  6 Zr 2.78-2.94, 1 Ga 2.79
Ga 0.6431 0.8569 0.5000  6 Zr 2.78-2.94, 1 Ga 2.79
Ga 0.8569 0.3569 0.5000  6 Zr 2.78-2.94, 1 Ga 2.79

Properties
- D(E_F): 9.23 states/eV per cell

#b
An optimized crystal structure of Zr2BeGa2. Source: the Alexandria database, functional PBE.

a = 6.4677 Å, b = 6.4677 Å, c = 4.1921 Å
α = 90.00°, β = 90.00°, γ = 90.00°
Last column: nearest neighbours and their distance in Å.
Fractional positions:
Zr 0.1723 0.3277 0.0000  6 Ga 2.73-2.90
Zr 0.3277 0.8277 0.0000  6 Ga 2.73-2.90
Zr 0.6723 0.1723 0.0000  6 Ga 2.73-2.90
Zr 0.8277 0.6723 0.0000  6 Ga 2.73-2.90
Be 0.0000 0.0000 0.5000  4 Ga 2.51
Be 0.5000 0.5000 0.5000  4 Ga 2.51
Ga 0.1365 0.6365 0.5000  1 Ga 2.50, 2 Be 2.51, 2 Zr 2.73
Ga 0.3635 0.1365 0.5000  1 Ga 2.50, 2 Be 2.51, 2 Zr 2.73
Ga 0.6365 0.8635 0.5000  1 Ga 2.50, 2 Be 2.51, 2 Zr 2.73
Ga 0.8635 0.3635 0.5000  1 Ga 2.50, 2 Be 2.51, 2 Zr 2.73

Properties
- D(E_F): 5.69 states/eV per cell

List of relative energies, unit kJ/mol of atoms: #a 35.5; #b 0.0

#a
An optimized crystal structure of Gd2BeHg. Source: the Alexandria database, functional PBE.

a = 5.1470 Å, b = 5.1470 Å, c = 5.1470 Å
α = 60.00°, β = 60.00°, γ = 60.00°
Last column: nearest neighbours and their distance in Å.
Fractional positions:
Gd 0.2500 0.2500 0.2500  4 Hg 3.15, 4 Be 3.15
Gd 0.7500 0.7500 0.7500  4 Hg 3.15, 4 Be 3.15
Be 0.0000 0.0000 0.0000  8 Gd 3.15
Hg 0.5000 0.5000 0.5000  8 Gd 3.15

Properties
- D(E_F): 4.39 states/eV per cell

#b
An optimized crystal structure of Gd2BeHg. Source: the Alexandria database, functional PBE.

a = 3.5358 Å, b = 3.5358 Å, c = 7.4959 Å
α = 90.00°, β = 90.00°, γ = 90.00°
Last column: nearest neighbours and their distance in Å.
Fractional positions:
Gd 0.0000 0.0000 0.2209  4 Be 3.00, 4 Hg 3.26, 1 Gd 3.31
Gd 0.0000 0.0000 0.7791  4 Be 3.00, 4 Hg 3.26, 1 Gd 3.31
Be 0.5000 0.5000 0.0000  8 Gd 3.00
Hg 0.5000 0.5000 0.5000  8 Gd 3.26, 4 Hg 3.54

Properties
- D(E_F): 2.51 states/eV per cell

List of relative energies, unit kJ/mol of atoms: #a 6.6; #b 0.0

#a
An optimized crystal structure of Gd2BeIn. Source: the Alexandria database, functional PBE.

a = 5.1739 Å, b = 5.1739 Å, c = 5.1739 Å
α = 60.00°, β = 60.00°, γ = 60.00°
Last column: nearest neighbours and their distance in Å.
Fractional positions:
Gd 0.2500 0.2500 0.2500  4 In 3.17, 4 Be 3.17
Gd 0.7500 0.7500 0.7500  4 In 3.17, 4 Be 3.17
Be 0.0000 0.0000 0.0000  8 Gd 3.17
In 0.5000 0.5000 0.5000  8 Gd 3.17

Properties
- D(E_F): 2.80 states/eV per cell

#b
An optimized crystal structure of Gd2BeIn. Source: the Alexandria database, functional PBE.

a = 3.5510 Å, b = 3.5510 Å, c = 7.5777 Å
α = 90.00°, β = 90.00°, γ = 90.00°
Last column: nearest neighbours and their distance in Å.
Fractional positions:
Gd 0.0000 0.0000 0.2197  4 Be 3.01, 4 In 3.29, 1 Gd 3.33
Gd 0.0000 0.0000 0.7803  4 Be 3.01, 4 In 3.29, 1 Gd 3.33
Be 0.5000 0.5000 0.0000  8 Gd 3.01
In 0.5000 0.5000 0.5000  8 Gd 3.29, 4 In 3.55

Properties
- D(E_F): 2.69 states/eV per cell

List of relative energies, unit kJ/mol of atoms: #a 6.2; #b 0.0

#a
An optimized crystal structure of Gd2BeIr. Source: the Alexandria database, functional PBE.

a = 4.8180 Å, b = 4.8180 Å, c = 3.5514 Å
α = 90.00°, β = 90.00°, γ = 90.00°
Last column: nearest neighbours and their distance in Å.
Fractional positions:
Gd 0.0000 0.5000 0.0000  4 Be 2.99, 4 Ir 2.99
Gd 0.5000 0.0000 0.0000  4 Be 2.99, 4 Ir 2.99
Be 0.0000 0.0000 0.5000  8 Gd 2.99
Ir 0.5000 0.5000 0.5000  8 Gd 2.99

Properties
- D(E_F): 2.74 states/eV per cell

#b
An optimized crystal structure of Gd2BeIr. Source: the Alexandria database, functional PBE.

a = 4.8948 Å, b = 4.8948 Å, c = 4.8948 Å
α = 60.00°, β = 60.00°, γ = 60.00°
Last column: nearest neighbours and their distance in Å.
Fractional positions:
Gd 0.2500 0.2500 0.2500  4 Ir 3.00, 4 Be 3.00
Gd 0.7500 0.7500 0.7500  4 Be 3.00, 4 Ir 3.00
Be 0.0000 0.0000 0.0000  8 Gd 3.00
Ir 0.5000 0.5000 0.5000  8 Gd 3.00

Properties
- D(E_F): 2.74 states/eV per cell

List of relative energies, unit kJ/mol of atoms: #a 1.1; #b 0.0

#a
An optimized crystal structure of LaGd2Be. Source: the Alexandria database, functional PBE.

a = 3.5114 Å, b = 3.5114 Å, c = 8.9056 Å
α = 90.00°, β = 90.00°, γ = 90.00°
Last column: nearest neighbours and their distance in Å.
Fractional positions:
La 0.0000 0.0000 0.0000  4 La 3.51, 8 Gd 3.76
Gd 0.5000 0.5000 0.3168  4 Be 2.97, 1 Gd 3.26
Gd 0.5000 0.5000 0.6832  4 Be 2.97, 1 Gd 3.26
Be 0.0000 0.0000 0.5000  8 Gd 2.97

Properties
- D(E_F): 4.68 states/eV per cell

#b
An optimized crystal structure of LaGd2Be. Source: the Alexandria database, functional PBE.

a = 11.7625 Å, b = 11.7625 Å, c = 11.7625 Å
α = 17.11°, β = 17.11°, γ = 17.11°
Last column: nearest neighbours and their distance in Å.
Fractional positions:
La 0.0000 0.0000 0.0000  6 La 3.50, 6 Gd 3.56
Gd 0.4175 0.4175 0.4175  1 Be 2.87
Gd 0.5825 0.5825 0.5825  1 Be 2.87
Be 0.5000 0.5000 0.5000  2 Gd 2.87

Properties
- D(E_F): 4.77 states/eV per cell

List of relative energies, unit kJ/mol of atoms: #a 0.0; #b 60.7

#a
An optimized crystal structure of Gd2MgBe. Source: the Alexandria database, functional PBE.

a = 3.4858 Å, b = 3.4858 Å, c = 7.9403 Å
α = 90.00°, β = 90.00°, γ = 90.00°
Last column: nearest neighbours and their distance in Å.
Fractional positions:
Gd 0.0000 0.0000 0.2081  4 Be 2.97, 1 Gd 3.30
Gd 0.0000 0.0000 0.7919  4 Be 2.97, 1 Gd 3.30
Mg 0.5000 0.5000 0.5000  8 Gd 3.38, 4 Mg 3.49
Be 0.5000 0.5000 0.0000  8 Gd 2.97

Properties
- D(E_F): 2.79 states/eV per cell

#b
An optimized crystal structure of Gd2MgBe. Source: the Alexandria database, functional PBE.

a = 5.1383 Å, b = 5.1383 Å, c = 5.1383 Å
α = 60.00°, β = 60.00°, γ = 60.00°
Last column: nearest neighbours and their distance in Å.
Fractional positions:
Gd 0.2500 0.2500 0.2500  4 Be 3.15, 4 Mg 3.15
Gd 0.7500 0.7500 0.7500  4 Be 3.15, 4 Mg 3.15
Mg 0.0000 0.0000 0.0000  8 Gd 3.15
Be 0.5000 0.5000 0.5000  8 Gd 3.15

Properties
- D(E_F): 3.74 states/eV per cell

List of relative energies, unit kJ/mol of atoms: #a 0.0; #b 8.2